No. 1
Ca2MgGa2: optimized geometry, PBE.

Density of states at the Fermi level ... 0.686 states/eV/atom
Calculated formation energy ... -1.73 eV/f.u.
Mass density ... 3.1 g/cm³

a = 4.325 Å, b = 14.499 Å, c = 4.160 Å
α = 90.00°, β = 90.00°, γ = 90.00°
Space group Cmmm (No. 65)
Asymmetric unit:
1 Ca 0.000 0.133 0.000 x4
2 Mg 0.000 0.500 0.500 x2
3 Ga 0.000 0.301 0.500 x4

---

No. 2
MnAs: optimized geometry, PBE.

Density of states at the Fermi level ... 0.563 states/eV/atom
Calculated formation energy ... -0.05 eV/f.u.
Mass density ... 6.2 g/cm³

a = 8.083 Å, b = 3.413 Å, c = 5.004 Å
α = 90.00°, β = 90.27°, γ = 90.00°
Space group Cm (No. 8)
Asymmetric unit:
1 Mn 0.000 0.000 0.000 x2
2 Mn 0.213 0.500 0.696 x2
3 As 0.203 0.500 0.187 x2
4 As 0.419 0.000 0.654 x2

---

No. 3
SiSI3: optimized geometry, PBE.

Density of states at the Fermi level ... 0.439 states/eV/atom
ΔE_f (raw) ... -0.166 eV per atom
Mass density ... 3.2 g/cm³

a = 7.089 Å, b = 9.873 Å, c = 7.228 Å
α = 90.00°, β = 114.19°, γ = 90.00°
Space group P2_1/m (No. 11)
Asymmetric unit:
1 Si 0.041 0.250 0.132 x2
2 S 0.220 0.750 0.140 x2
3 I 0.025 0.750 0.560 x2
4 I 0.286 0.059 0.155 x4

---

No. 4
Tm3Ga7Fe2: optimized geometry, PBE.

Density of states at the Fermi level ... 0.508 states/eV/atom
Calculated formation energy ... -4.28 eV/f.u.
Mass density ... 8.2 g/cm³

a = 4.494 Å, b = 22.206 Å, c = 4.503 Å
α = 90.00°, β = 90.00°, γ = 90.00°
Space group Cmmm (No. 65)
Asymmetric unit:
1 Tm 0.000 0.000 0.000 x2
2 Tm 0.000 0.185 0.000 x4
3 Ga 0.000 0.094 0.500 x4
4 Ga 0.000 0.284 0.500 x4
5 Ga 0.000 0.406 0.000 x4
6 Ga 0.000 0.500 0.500 x2
7 Fe 0.000 0.393 0.500 x4

---

No. 5
Nd3Ga6Ru5: optimized geometry, PBE.

Density of states at the Fermi level ... 0.487 states/eV/atom
Calculated formation energy ... -5.98 eV/f.u.
Mass density ... 8.8 g/cm³

a = 4.065 Å, b = 12.264 Å, c = 10.239 Å
α = 90.00°, β = 90.00°, γ = 90.00°
Space group Pmmn (No. 59, origin choice 2)
Asymmetric unit:
1 Nd 0.250 0.062 0.246 x4
2 Nd 0.250 0.750 0.256 x2
3 Ga 0.250 0.080 0.616 x4
4 Ga 0.250 0.250 0.056 x2
5 Ga 0.250 0.250 0.441 x2
6 Ga 0.250 0.594 0.975 x4
7 Ru 0.250 0.106 0.875 x4
8 Ru 0.250 0.617 0.526 x4
9 Ru 0.250 0.750 0.765 x2

---

No. 6
TaTcHg: optimized geometry, PBE.

Density of states at the Fermi level ... 0.796 states/eV/atom
Calculated formation energy ... 0.85 eV/f.u.
Mass density ... 14.4 g/cm³

a = 3.267 Å, b = 4.880 Å, c = 13.884 Å
α = 90.00°, β = 90.00°, γ = 90.00°
Space group Fmm2 (No. 42)
Asymmetric unit:
1 Ta 0.000 0.000 0.000 x4
2 Tc 0.000 0.000 0.640 x4
3 Hg 0.000 0.000 0.317 x4